VASP calculation (PBE+U) on an optimized crystal structure of Ac2TcMoO8.

Unit cell a=5.4072 b=4.5157 c=6.8575 alpha=89.09 beta=91.08 gamma=90.37
Last column: nearest neighbours and their distance in Å.
Fractional positions:
Ac 0.4831 0.3362 0.7523  4 O 2.39-2.68
Ac 0.5169 0.6638 0.2477  4 O 2.39-2.68
Tc 0.0000 0.0000 0.0000  2 O 1.84
Mo 0.0000 0.0000 0.5000  4 O 1.91-2.08
O 0.0716 0.7494 0.2558  1 Mo 2.08, 1 Tc 2.10
O 0.7231 0.7788 0.9422  1 Tc 1.84
O 0.8022 0.1760 0.2480  1 Mo 2.16, 1 Tc 2.19
O 0.9284 0.2506 0.7442  1 Mo 2.08, 1 Tc 2.10
O 0.2769 0.2212 0.0578  1 Tc 1.84
O 0.1978 0.8240 0.7520  1 Mo 2.16, 1 Tc 2.19
O 0.7081 0.7756 0.5556  1 Mo 1.91
O 0.2919 0.2244 0.4444  1 Mo 1.91

Values from the calculation:
- SG = No. 2
- theoretical density (g/cm3) = 7.698
- calculated total energy (eV per atom) = -7.6301